# AcPr4Tm (PBE-GGA, relaxed)
data_AcPr4Tm
_cell_length_a 6.024
_cell_length_b 7.242
_cell_length_c 10.594
_cell_angle_alpha 90.00
_cell_angle_beta 106.14
_cell_angle_gamma 90.00
_space_group_name_H-M_alt 'P 1 21/m 1'
_space_group_IT_number 11
loop_
_space_group_symop_operation_xyz
'x,y,z'
'-x,-y,-z'
'-x,y+1/2,-z'
'x,-y+1/2,z'
loop_
_atom_site_label
_atom_site_type_symbol
_atom_site_fract_x
_atom_site_fract_y
_atom_site_fract_z
_atom_site_occupancy
Ac1 Ac 0.154 0.250 0.308 1
Pr1 Pr 0.070 0.750 0.105 1
Pr2 Pr 0.222 0.750 0.441 1
Pr3 Pr 0.352 0.037 0.714 1
Tm1 Tm 0.496 0.250 0.031 1
# Formation energy ... 0.146 eV per atom
# Calculated total energy ... -4.4706 eV/atom
# E above lowest polymorph ... 0.0 meV per atom